Computed, not measured: an optimized crystal structure of ZrSi2Hg at the PBE-GGA level of DFT. Values from VASP.

Geometry as Quantum ESPRESSO input:
```
&SYSTEM
  ibrav = 0, nat = 4, ntyp = 3
/
ATOMIC_SPECIES
Hg 200.59 Hg.upf
Si 28.09 Si.upf
Zr 91.22 Zr.upf
CELL_PARAMETERS angstrom
8.770 0.028 0.016
8.175 3.176 0.016
8.175 1.545 2.774
ATOMIC_POSITIONS crystal
Hg 0.744 0.744 0.744
Si 0.991 0.991 0.991
Si 0.258 0.258 0.258
Zr 0.507 0.507 0.507
```

Calculated values
ΔE to the lowest computed polymorph: 226 meV/atom
E_form (uncorrected): 0.5 eV per formula unit
symmetry: R3m (160)

Computed, not measured: an optimized crystal structure of ScMnSnIr2 at the PBE-GGA level of DFT. Values from VASP.

Geometry as Quantum ESPRESSO input:
```
&SYSTEM
  ibrav = 0, nat = 5, ntyp = 4
/
ATOMIC_SPECIES
Sc 44.96 Sc.upf
Ir 192.22 Ir.upf
Sn 118.71 Sn.upf
Mn 54.94 Mn.upf
CELL_PARAMETERS angstrom
4.553 0.000 0.000
0.000 4.721 0.000
0.000 0.000 4.553
ATOMIC_POSITIONS crystal
Sc 0.500 0.500 0.500
Ir 0.000 0.000 0.500
Ir 0.500 0.000 0.000
Sn 0.000 0.500 0.000
Mn 0.000 0.000 0.000
```

Calculated values
ΔE_f: 0.511 eV/atom
symmetry: P4/mmm (123)